## PmAs2Pt2 (GGA-PBE)

Data for PmAs2Pt2 after structural relaxation.

Results
- DFT formation energy: -0.87 eV per atom
- Crystal system: tetragonal
- N(E_F): 2.8 states/eV per cell

abc: 4.4873 4.4873 9.7995
angles: 90.00 90.00 90.00
Closest atoms and distances in Å follow each position.
Space group P4/nmm (No. 129, origin choice 2)
One atom of each set of equivalent atoms:
Pm (0.2500, 0.2500, 0.2484) x2  9 Pt 3.31-3.64, 9 As 3.33-3.70
As (0.2500, 0.2500, 0.8712) x2  5 Pt 2.46-2.57
As (0.2500, 0.7500, 0.5000) x2  4 Pt 2.53
Pt (0.2500, 0.2500, 0.6202) x2  5 As 2.46-2.53
Pt (0.2500, 0.7500, 0.0000) x2  4 As 2.57



## Pm2AsPt3 (GGA-PBE)

Data for Pm2AsPt3 after structural relaxation.

Results
- DFT formation energy: -1.10 eV per atom
- Crystal system: orthorhombic
- N(E_F): 15.4 states/eV per cell

abc: 7.7662 8.8239 15.3142
angles: 90.00 90.00 90.00
Closest atoms and distances in Å follow each position.
Space group Fmmm (No. 69)
One atom of each set of equivalent atoms:
Pm (0.2382, 0.0000, 0.0000) x8  10 Pt 3.20-3.23, 2 As 3.25
Pm (0.2500, 0.2500, 0.2500) x8  8 Pt 3.17-3.18, 4 As 3.21
As (0.0000, 0.0000, 0.3345) x8  3 Pt 2.47-2.49
Pt (0.0000, 0.0000, 0.1718) x8  1 As 2.49, 2 Pt 2.62
Pt (0.0000, 0.2433, 0.4145) x16  1 As 2.47, 2 Pt 2.62



## PmPuAsPt (GGA-PBE)

Data for PmPuAsPt after structural relaxation.

Results
- DFT formation energy: -0.88 eV per atom
- Crystal system: cubic
- N(E_F): 42.3 states/eV per cell

abc: 7.1788 7.1788 7.1788
angles: 90.00 90.00 90.00
Closest atoms and distances in Å follow each position.
Space group F-43m (No. 216)
One atom of each set of equivalent atoms:
Pm (0.0000, 0.0000, 0.0000) x4  4 As 3.11, 4 Pt 3.11
Pu (0.0000, 0.0000, 0.5000) x4  4 As 3.11, 4 Pt 3.11
As (0.2500, 0.2500, 0.2500) x4  4 Pm 3.11, 4 Pu 3.11
Pt (0.2500, 0.2500, 0.7500) x4  4 Pm 3.11, 4 Pu 3.11



## Pm2PuAs4Pt3 (GGA-PBE)

Data for Pm2PuAs4Pt3 after structural relaxation.

Results
- DFT formation energy: -0.82 eV per atom
- Crystal system: tetragonal
- N(E_F): 15.0 states/eV per cell

abc: 4.4378 4.4378 10.9078
angles: 90.00 90.00 90.00
Closest atoms and distances in Å follow each position.
Space group P-4m2 (No. 115)
One atom of each set of equivalent atoms:
Pm (0.0000, 0.5000, 0.2243) x2  8 As 3.30-3.39, 5 Pt 3.36-3.69
Pu (0.0000, 0.0000, 0.5000) x1  4 As 2.81, 4 Pt 3.14
As (0.0000, 0.0000, 0.0000) x1  4 Pt 2.54
As (0.0000, 0.5000, 0.6586) x2  1 Pt 2.48
As (0.5000, 0.5000, 0.0000) x1  4 Pt 2.54
Pt (0.0000, 0.5000, 0.8859) x2  5 As 2.48-2.54
Pt (0.5000, 0.5000, 0.5000) x1  4 As 2.81, 4 Pu 3.14



## RbPmAs2Pt4 (GGA-PBE)

Data for RbPmAs2Pt4 after structural relaxation.

Results
- DFT formation energy: -0.62 eV per atom
- Crystal system: tetragonal
- N(E_F): 5.7 states/eV per cell

abc: 4.0777 4.0777 11.4687
angles: 90.00 90.00 90.00
Closest atoms and distances in Å follow each position.
Space group P4/mmm (No. 123)
One atom of each set of equivalent atoms:
Rb (0.0000, 0.0000, 0.0000) x1  8 As 3.59
Pm (0.0000, 0.0000, 0.5000) x1  8 Pt 3.01
As (0.5000, 0.5000, 0.1858) x2  4 Pt 2.47
Pt (0.0000, 0.5000, 0.3071) x4  2 As 2.47



## Pm2As4PtRh3 (GGA-PBE)

Data for Pm2As4PtRh3 after structural relaxation.

Results
- DFT formation energy: -0.90 eV per atom
- Crystal system: tetragonal
- N(E_F): 7.2 states/eV per cell

abc: 4.3282 4.3282 9.9575
angles: 90.00 90.00 90.00
Closest atoms and distances in Å follow each position.
Space group P-4m2 (No. 115)
One atom of each set of equivalent atoms:
Pm (0.0000, 0.5000, 0.2474) x2  8 As 3.26-3.28, 7 Rh 3.32-3.65, 2 Pt 3.32
As (0.0000, 0.0000, 0.0000) x1  4 Rh 2.47
As (0.0000, 0.5000, 0.6389) x2  3 Rh 2.41-2.57, 2 Pt 2.57
As (0.5000, 0.5000, 0.0000) x1  4 Rh 2.47
Pt (0.0000, 0.0000, 0.5000) x1  4 As 2.57
Rh (0.0000, 0.5000, 0.8812) x2  5 As 2.41-2.47
Rh (0.5000, 0.5000, 0.5000) x1  4 As 2.57